VASP calculation (GGA-PBE) on a relaxed NaBe3Cl crystal.

Values from the calculation:
* V: 87.6 Å³ per cell
* energy relative to the elements, uncorrected: 1255 meV/atom
* magnetic moment: 0.00 Bohr magnetons per cell
* N(E_F): 0.505 states/eV per atom
* polymorph energy (0 for the lowest one): 0.00 eV per formula unit

Lattice parameters (Å, degrees): 4.4415 4.4415 4.4415 90.00 90.00 90.00
Element x y z (fractional)
Na (0.0000, 0.0000, 0.0000)
Be (0.0000, 0.5000, 0.5000)
Be (0.5000, 0.0000, 0.5000)
Be (0.5000, 0.5000, 0.0000)
Cl (0.5000, 0.5000, 0.5000)